A relaxed AcPrErGa crystal, computed with PBE.

abc: 7.8423 7.8423 7.8423
angles: 90.00 90.00 90.00
Closest atoms and distances in Å follow each position.
Fractional positions:
Ac 0.0000 0.0000 0.0000  4 Pr 3.40, 4 Er 3.40
Ac 0.0000 0.5000 0.5000  4 Pr 3.40, 4 Er 3.40
Ac 0.5000 0.0000 0.5000  4 Pr 3.40, 4 Er 3.40
Ac 0.5000 0.5000 0.0000  4 Pr 3.40, 4 Er 3.40
Pr 0.2500 0.2500 0.7500  4 Ac 3.40, 4 Ga 3.40
Pr 0.2500 0.7500 0.2500  4 Ac 3.40, 4 Ga 3.40
Pr 0.7500 0.2500 0.2500  4 Ac 3.40, 4 Ga 3.40
Pr 0.7500 0.7500 0.7500  4 Ac 3.40, 4 Ga 3.40
Er 0.2500 0.2500 0.2500  4 Ac 3.40, 4 Ga 3.40
Er 0.2500 0.7500 0.7500  4 Ga 3.40, 4 Ac 3.40
Er 0.7500 0.2500 0.7500  4 Ga 3.40, 4 Ac 3.40
Er 0.7500 0.7500 0.2500  4 Ga 3.40, 4 Ac 3.40
Ga 0.0000 0.0000 0.5000  4 Pr 3.40, 4 Er 3.40
Ga 0.0000 0.5000 0.0000  4 Pr 3.40, 4 Er 3.40
Ga 0.5000 0.0000 0.0000  4 Pr 3.40, 4 Er 3.40
Ga 0.5000 0.5000 0.5000  4 Pr 3.40, 4 Er 3.40

Results
Its theoretical density is 8.330 Mg/m³. The calculation puts the formation enthalpy at 0 K at 0.04 eV per atom. As for the size of the total moment: 0.01 Bohr magnetons per cell.